(1)
The following is a DFT calculation (GGA-PBEsol) of a geometry-optimized TiNb3Ni12 structure.

calculated formation energy	-0.34	eV/atom
total moment	0.00	μB/cell

Unit cell a=4.1606 b=10.1043 c=4.4935 alpha=90.00 beta=90.00 gamma=90.00
Fractional positions:
Ti1 0.0000 0.0000 0.0000
Nb1 0.0000 0.5000 0.9984
Nb2 0.5000 0.2486 0.3034
Nb3 0.5000 0.7514 0.3034
Ni1 0.0000 0.1218 0.4910
Ni2 0.0000 0.2477 0.9638
Ni3 0.0000 0.3751 0.4917
Ni4 0.0000 0.6249 0.4917
Ni5 0.0000 0.7523 0.9638
Ni6 0.0000 0.8782 0.4910
Ni7 0.5000 0.0000 0.3335
Ni8 0.5000 0.1237 0.8114
Ni9 0.5000 0.3738 0.8106
Ni10 0.5000 0.5000 0.3363
Ni11 0.5000 0.6262 0.8106
Ni12 0.5000 0.8763 0.8114

=====

(2)
The following is a DFT calculation (GGA-PBEsol) of a geometry-optimized Ta2TcSe structure.

energy relative to the elements, uncorrected	-0.477	eV/f.u.
total moment	0.00	μB/cell

Unit cell a=3.2024 b=3.2024 c=6.4238 alpha=90.00 beta=90.00 gamma=90.00
Fractional positions:
Ta1 0.0000 0.0000 0.0000
Ta2 0.5000 0.5000 0.2947
Tc1 0.0000 0.0000 0.5016
Se1 0.5000 0.5000 0.7890

=====

(3)
The following is a DFT calculation (GGA-PBEsol) of a geometry-optimized DyAl3B4O12 structure.

energy relative to the elements, uncorrected	-57.582	eV/f.u.
total moment	0.00	μB/cell

Unit cell a=5.8830 b=5.8830 c=5.8830 alpha=104.50 beta=104.50 gamma=104.50
Fractional positions:
Dy1 0.0000 0.0000 0.0000
Al1 0.0000 0.5556 0.4444
Al2 0.4444 0.0000 0.5556
Al3 0.5556 0.4444 0.0000
B1 0.0567 0.5000 0.9433
B2 0.5000 0.5000 0.5000
B3 0.5000 0.9433 0.0567
B4 0.9433 0.0567 0.5000
O1 0.0288 0.6295 0.7796
O2 0.0919 0.9081 0.5000
O3 0.2204 0.3705 0.9712
O4 0.3510 0.6490 0.5000
O5 0.3705 0.9712 0.2204
O6 0.5000 0.0919 0.9081
O7 0.5000 0.3510 0.6490
O8 0.6295 0.7796 0.0288
O9 0.6490 0.5000 0.3510
O10 0.7796 0.0288 0.6295
O11 0.9081 0.5000 0.0919
O12 0.9712 0.2204 0.3705

=====

(4)
The following is a DFT calculation (GGA-PBEsol) of a geometry-optimized PH4Br structure.

DFT total energy	-43.7	eV per cell
total moment	0.00	μB/cell

Unit cell a=5.7739 b=5.7739 c=4.2046 alpha=90.00 beta=90.00 gamma=90.00
Fractional positions:
P1 0.2500 0.7500 0.0000
P2 0.7500 0.2500 0.0000
H1 0.0502 0.7500 0.2006
H2 0.2500 0.5502 0.7994
H3 0.2500 0.9498 0.7994
H4 0.4498 0.7500 0.2006
H5 0.5502 0.2500 0.7994
H6 0.7500 0.0502 0.2006
H7 0.7500 0.4498 0.2006
H8 0.9498 0.2500 0.7994
Br1 0.2500 0.2500 0.3935
Br2 0.7500 0.7500 0.6065